(1)
First-principles (PBE-GGA) data for a geometry-optimized Zn2CoGe structure, as listed in OQMD.

```
16
Lattice="6.020 0.000 0.000 0.000 6.020 0.000 0.000 0.000 6.020" Properties=species:S:1:pos:R:3 pbc="T T T"
Zn 0.000 0.000 0.000
Zn 0.000 3.010 3.010
Zn 1.505 1.505 1.505
Zn 1.505 4.515 4.515
Zn 3.010 0.000 3.010
Zn 3.010 3.010 0.000
Zn 4.515 1.505 4.515
Zn 4.515 4.515 1.505
Co 1.505 1.505 4.515
Co 1.505 4.515 1.505
Co 4.515 1.505 1.505
Co 4.515 4.515 4.515
Ge 0.000 0.000 3.010
Ge 0.000 3.010 0.000
Ge 3.010 0.000 0.000
Ge 3.010 3.010 3.010
```

(2)
First-principles (PBE-GGA) data for a geometry-optimized ZnCo2Ge structure, as listed in OQMD.

```
16
Lattice="5.742 0.000 0.000 0.000 5.742 0.000 0.000 0.000 5.742" Properties=species:S:1:pos:R:3 pbc="T T T"
Zn 0.000 0.000 0.000
Zn 0.000 2.871 2.871
Zn 2.871 0.000 2.871
Zn 2.871 2.871 0.000
Co 1.436 1.436 1.436
Co 1.436 1.436 4.307
Co 1.436 4.307 1.436
Co 1.436 4.307 4.307
Co 4.307 1.436 1.436
Co 4.307 1.436 4.307
Co 4.307 4.307 1.436
Co 4.307 4.307 4.307
Ge 0.000 0.000 2.871
Ge 0.000 2.871 0.000
Ge 2.871 0.000 0.000
Ge 2.871 2.871 2.871
```

(3)
First-principles (PBE-GGA) data for a geometry-optimized ZnCo2Ge structure, as listed in OQMD.

```
4
Lattice="4.018 0.000 0.000 0.000 4.018 0.000 0.000 0.000 2.940" Properties=species:S:1:pos:R:3 pbc="T T T"
Zn 0.000 0.000 0.000
Co 0.000 2.009 1.470
Co 2.009 0.000 1.470
Ge 2.009 2.009 0.000
```

(4)
First-principles (PBE-GGA) data for a geometry-optimized ZnCoGe structure, as listed in OQMD.

```
12
Lattice="5.645 0.000 0.000 0.000 5.645 0.000 0.000 0.000 5.645" Properties=species:S:1:pos:R:3 pbc="T T T"
Zn 0.000 0.000 0.000
Zn 0.000 2.822 2.822
Zn 2.822 0.000 2.822
Zn 2.822 2.822 0.000
Co 1.411 1.411 4.234
Co 1.411 4.234 1.411
Co 4.234 1.411 1.411
Co 4.234 4.234 4.234
Ge 0.000 0.000 2.822
Ge 0.000 2.822 0.000
Ge 2.822 0.000 0.000
Ge 2.822 2.822 2.822
```

(5)
First-principles (PBE-GGA) data for a geometry-optimized ZrCoGe structure, as listed in OQMD.

```
12
Lattice="6.554 0.000 0.000 0.000 3.946 0.000 0.000 0.000 7.254" Properties=species:S:1:pos:R:3 pbc="T T T"
Zr 0.058 0.987 1.443
Zr 3.219 2.960 5.070
Zr 3.336 0.987 2.184
Zr 6.496 2.960 5.811
Co 0.939 0.987 4.128
Co 2.339 2.960 0.501
Co 4.216 0.987 6.753
Co 5.616 2.960 3.126
Ge 1.476 2.960 2.864
Ge 1.801 0.987 6.491
Ge 4.753 2.960 0.763
Ge 5.078 0.987 4.390
```

(6)
First-principles (PBE-GGA) data for a geometry-optimized Zr2CoGe structure, as listed in OQMD.

```
8
Lattice="5.338 0.000 0.000 0.000 3.728 0.000 -0.119 0.000 7.259" Properties=species:S:1:pos:R:3 pbc="T T T"
Zr 0.623 0.932 2.469
Zr 1.846 0.932 5.752
Zr 3.373 2.796 1.507
Zr 4.596 2.796 4.790
Co 1.868 2.796 3.883
Co 3.351 0.932 3.376
Ge 0.839 2.796 0.319
Ge 4.380 0.932 6.940
```

(7)
First-principles (PBE-GGA) data for a geometry-optimized ZrCo6Ge6 structure, as listed in OQMD.

```
13
Lattice="5.057 0.000 0.000 -2.528 4.379 0.000 0.000 0.000 7.774" Properties=species:S:1:pos:R:3 pbc="T T T"
Zr 0.000 0.000 0.000
Co -1.264 2.190 1.939
Co -1.264 2.190 5.835
Co 2.528 0.000 1.939
Co 2.528 0.000 5.835
Co 1.264 2.190 1.939
Co 1.264 2.190 5.835
Ge 0.000 0.000 2.648
Ge 0.000 0.000 5.126
Ge 0.000 2.920 0.000
Ge 0.000 2.920 3.887
Ge 2.528 1.460 0.000
Ge 2.528 1.460 3.887
```

(8)
First-principles (PBE-GGA) data for a geometry-optimized Zr2CoGe structure, as listed in OQMD.

```
8
Lattice="3.805 0.000 0.000 0.000 6.923 0.000 0.000 0.000 5.434" Properties=species:S:1:pos:R:3 pbc="T T T"
Zr 0.000 0.397 0.000
Zr 0.000 4.132 4.190
Zr 1.903 2.792 1.473
Zr 1.903 6.526 2.717
Co 0.000 1.417 2.712
Co 1.903 5.506 5.429
Ge 0.000 4.840 1.483
Ge 1.903 2.084 4.200
```

Magnetic moment / μB/atom: 0.024; 0.001; 0.061; 0.008; 0.002; 0.011; 0.000; 0.005
Total DFT energy (no corrections) / eV per atom: -3.408; -5.164; -5.138; -4.363; -7.464; -7.712; -6.403; -7.798